Record 1
Material: Rb2ScSI6
Method: DFT, PBE
State: relaxed

a = 9.0328 Å, b = 9.0328 Å, c = 8.4734 Å
α = 57.79°, β = 57.79°, γ = 90.00°
Fractional positions:
I 0.2673 0.2673 0.4654
I 0.7327 0.7327 0.5346
I 0.2239 0.2239 0.0000
I 0.7761 0.7761 0.0000
I 0.7761 0.2239 0.0000
I 0.2239 0.7761 0.0000
Sc 0.0000 0.0000 0.0000
S 0.5000 0.5000 0.0000
Rb 0.7500 0.2500 0.5000
Rb 0.2500 0.7500 0.5000

Space group   I4/mmm (139)
Total magnetic moment   0.1000 μB per atom


Record 2
Material: RbSeSI2
Method: DFT, PBE
State: relaxed

a = 6.1023 Å, b = 6.1023 Å, c = 4.7848 Å
α = 90.00°, β = 90.00°, γ = 90.00°
Fractional positions:
I 0.0000 0.5000 0.0000
I 0.5000 0.0000 0.0000
S 0.0000 0.0000 0.5000
Se 0.0000 0.0000 0.0000
Rb 0.5000 0.5000 0.5000

Space group   P4/mmm (123)
Total magnetic moment   0.0000 μB per atom


Record 3
Material: Rb2SnSI6
Method: DFT, PBE
State: relaxed

a = 8.3072 Å, b = 8.3072 Å, c = 8.5001 Å
α = 60.75°, β = 60.75°, γ = 90.00°
Fractional positions:
I 0.2449 0.2449 0.5102
I 0.7551 0.7551 0.4898
I 0.2563 0.2563 0.0000
I 0.7437 0.7437 0.0000
I 0.7437 0.2563 0.0000
I 0.2563 0.7437 0.0000
S 0.5000 0.5000 0.0000
Sn 0.0000 0.0000 0.0000
Rb 0.7500 0.2500 0.5000
Rb 0.2500 0.7500 0.5000

Space group   I4/mmm (139)
Total magnetic moment   0.0000 μB per atom


Record 4
Material: RbSrSI
Method: DFT, PBE
State: relaxed

a = 4.5062 Å, b = 4.5063 Å, c = 9.0239 Å
α = 90.01°, β = 104.46°, γ = 120.00°
Fractional positions:
Rb 0.1094 0.9527 0.0773
Sr 0.5054 0.1505 0.6713
S 0.2787 0.5372 0.8313
I 0.9844 0.3904 0.3897

Space group   R3m (160)
Total magnetic moment   0.0152 μB per atom


| no. | raw total energy (eV per atom) | E_form (uncorrected) (eV/atom) |
| --- | --- | --- |
| 1 | -3.04 | -0.87 |
| 2 | -2.70 | -0.37 |
| 3 | -2.56 | -0.62 |
| 4 | -3.71 | -1.63 |